(1)
DFT (GGA-PBEsol) results for a relaxed YScCl2 crystal.

Properties
- ρ (Mg/m³) = 3.3
- raw formation energy (eV per atom) = -1.4520
- relative energy among the computed polymorphs (eV/atom) = 0.000
- total magnetic moment (μB per atom) = 0.38

Cell: 3.5647 3.5647 9.4876 Å, 79.17 79.17 60.00°
Last column: nearest neighbours and their distance in Å.
Sites, in units of the cell vectors:
Cl: 0.7691 0.7691 0.6927  3 Sc 2.59
Cl: 0.9844 0.9844 0.0467  3 Y 2.71
Sc: 0.4923 0.4923 0.5231  3 Cl 2.59
Y: 0.2542 0.2542 0.2374  3 Cl 2.71



(2)
DFT (GGA-PBEsol) results for a relaxed YScCl2 crystal.

Properties
- ρ (Mg/m³) = 4.0
- raw formation energy (eV per atom) = -1.4146
- relative energy among the computed polymorphs (eV/atom) = 0.037
- total magnetic moment (μB per atom) = 0.00

Cell: 3.5390 3.5390 6.7049 Å, 90.00 90.00 90.00°
Last column: nearest neighbours and their distance in Å.
Sites, in units of the cell vectors:
Y: 0.5000 0.5000 0.7593  5 Cl 2.95-2.96
Cl: 0.0000 0.0000 0.9965  1 Sc 2.87, 4 Y 2.96
Cl: 0.5000 0.5000 0.3198  4 Sc 2.60
Sc: 0.0000 0.0000 0.4244  5 Cl 2.60-2.87



(3)
DFT (GGA-PBEsol) results for a relaxed Y2ScCl crystal.

Properties
- ρ (Mg/m³) = 4.2
- raw formation energy (eV per atom) = -0.0776
- relative energy among the computed polymorphs (eV/atom) = 0.586
- total magnetic moment (μB per atom) = 0.00

Cell: 4.2982 4.2982 6.3330 Å, 109.84 109.84 90.00°
Last column: nearest neighbours and their distance in Å.
Sites, in units of the cell vectors:
Y: 0.0000 0.0000 0.0000  4 Cl 3.04
Y: 0.7500 0.2500 0.5000  4 Sc 3.04
Sc: 0.2500 0.7500 0.5000  4 Y 3.04
Cl: 0.5000 0.5000 0.0000  4 Y 3.04



(4)
DFT (GGA-PBEsol) results for a relaxed YScCl2 crystal.

Properties
- ρ (Mg/m³) = 3.9
- raw formation energy (eV per atom) = -1.1668
- relative energy among the computed polymorphs (eV/atom) = 0.285
- total magnetic moment (μB per atom) = 0.00

Cell: 3.2617 5.5562 5.5562 Å, 66.18 72.93 72.93°
Last column: nearest neighbours and their distance in Å.
Sites, in units of the cell vectors:
Cl: 0.7601 0.2399 0.2399  2 Sc 2.65, 2 Y 2.79
Y: 0.0000 0.5000 0.5000  4 Cl 2.79
Sc: 0.5000 0.0000 0.0000  4 Cl 2.65
Cl: 0.2399 0.7601 0.7601  2 Sc 2.65, 2 Y 2.79



(5)
DFT (GGA-PBEsol) results for a relaxed Y2ScCl crystal.

Properties
- ρ (Mg/m³) = 4.3
- raw formation energy (eV per atom) = -0.5139
- relative energy among the computed polymorphs (eV/atom) = 0.150
- total magnetic moment (μB per atom) = 0.03

Cell: 3.3892 3.3892 9.7307 Å, 90.00 90.00 116.39°
Last column: nearest neighbours and their distance in Å.
Sites, in units of the cell vectors:
Y: 0.5000 0.5000 0.7185  2 Cl 2.87
Cl: 0.0000 0.0000 0.4872  2 Sc 2.68, 2 Y 2.87
Sc: 0.5000 0.5000 0.2814  2 Cl 2.68
Y: 0.0000 0.0000 0.0129  2 Sc 3.17, 6 Y 3.38-3.39



(6)
DFT (GGA-PBEsol) results for a relaxed Y2ScCl crystal.

Properties
- ρ (Mg/m³) = 4.3
- raw formation energy (eV per atom) = -0.6634
- relative energy among the computed polymorphs (eV/atom) = 0.000
- total magnetic moment (μB per atom) = 0.00

Cell: 3.4955 3.4955 9.6460 Å, 79.56 79.56 60.00°
Last column: nearest neighbours and their distance in Å.
Sites, in units of the cell vectors:
Cl: 0.5000 0.5000 0.5000  6 Y 2.91
Y: 0.2409 0.2409 0.2772  3 Cl 2.91
Y: 0.7591 0.7591 0.7228  3 Cl 2.91
Sc: 0.0000 0.0000 0.0000  6 Y 3.30, 6 Sc 3.50